KLiCo2 after structural relaxation, computed with PBE-GGA.

Values from the calculation:
- symmetry = Cmmm
- DOS at the Fermi energy (states/eV per atom) = 0.7534
- energy of formation from the pure elements (meV/atom) = 842
- energy relative to the lowest polymorph listed for this composition (meV/atom) = 364.6

POSCAR file:
```
KLiCo2
1.0
1.5550 -2.1073 0.0000
1.5550 2.1073 0.0000
0.0000 0.0000 9.6690
K Li Co
1 1 2
Direct
0.0000 0.0000 0.0000 K
0.0000 0.0000 0.5000 Li
0.5000 0.5000 0.2862 Co
0.5000 0.5000 0.7138 Co
```